(1)
LiLa2ZnC (PBE, optimized geometry); relative energy among the computed polymorphs = 0.0648 eV per atom; magnetization = 0.00 μB/f.u.; N(E_F) = 1.076 states/eV per atom; ΔH_f (0 K) = 5 kJ per mole of atoms
1.0
5.353 0.000 0.000
0.000 5.353 0.000
0.000 0.000 4.026
Li La Zn C
1 2 1 1
direct
0.000 0.000 0.000
0.000 0.500 0.500
0.500 0.000 0.500
0.500 0.500 0.000
0.500 0.500 0.500

---

(2)
LiLa2ZnC (PBE, optimized geometry); relative energy among the computed polymorphs = 0.0000 eV per atom; magnetization = 0.00 μB/f.u.; N(E_F) = 1.246 states/eV per atom; ΔH_f (0 K) = -1 kJ per mole of atoms
1.0
5.224 0.000 0.000
0.000 5.224 0.000
0.000 0.000 4.213
Li La Zn C
1 2 1 1
direct
0.000 0.000 0.000
0.000 0.500 0.500
0.500 0.000 0.500
0.500 0.500 0.000
0.000 0.000 0.500